[1]
Here is a geometry-optimized NdHo2N structure from the Alexandria database. Energies are from PBE-GGA.

Calculated values
ΔE to the lowest computed polymorph ... 0.000 eV/f.u.
D(E_F) ... 4.84 states/eV/cell
SG ... R-3m
E_form (uncorrected) ... -0.709 eV/atom
E ... -6.271 eV/atom

POSCAR file:
```
NdHo2N
1.0
1.7214 0.9939 9.5906
-1.7214 0.9939 9.5906
0.0000 -1.9878 9.5906
Nd Ho N
1 2 1
Direct
0.0000 0.0000 0.0000
0.1207 0.1207 0.1207
0.8793 0.8793 0.8793
0.5000 0.5000 0.5000
```

[2]
Here is a geometry-optimized Nd4HoN5 structure from the Alexandria database. Energies are from PBE-GGA.

Calculated values
D(E_F) ... 1.16 states/eV/cell
SG ... I4
E_form (uncorrected) ... -1.418 eV/atom
E ... -7.945 eV/atom

POSCAR file:
```
Nd4HoN5
1.0
-4.0255 4.0255 2.5830
4.0255 -4.0255 2.5830
4.0255 4.0255 -2.5830
Nd Ho N
4 1 5
Direct
0.1009 0.2987 0.3995
0.2987 0.8991 0.1978
0.7013 0.1009 0.8022
0.8991 0.7013 0.6005
0.5070 0.5070 0.0000
0.1896 0.5794 0.8051
0.3845 0.1896 0.6102
0.5794 0.7743 0.3898
0.7743 0.3845 0.1949
0.9623 0.9623 0.0000
```

[3]
Here is a geometry-optimized Nd3HoN4 structure from the Alexandria database. Energies are from PBE-GGA.

Calculated values
ΔE to the lowest computed polymorph ... 0.000 eV/f.u.
D(E_F) ... 1.42 states/eV/cell
SG ... P2/c
E_form (uncorrected) ... -1.432 eV/atom
E ... -7.955 eV/atom

POSCAR file:
```
Nd3HoN4
1.0
6.2424 0.0000 0.0000
0.0000 7.2150 0.0000
-2.0781 0.0000 5.8846
Nd Ho N
6 2 8
Direct
0.0000 0.1241 0.2500
0.0000 0.3712 0.7500
0.0000 0.6288 0.2500
0.0000 0.8759 0.7500
0.5000 0.3717 0.2500
0.5000 0.6283 0.7500
0.5000 0.1248 0.7500
0.5000 0.8752 0.2500
0.2536 0.3654 0.5063
0.2536 0.6346 0.0063
0.2590 0.1236 0.9979
0.2590 0.8764 0.4979
0.7410 0.1236 0.5021
0.7410 0.8764 0.0021
0.7464 0.3654 0.9937
0.7464 0.6346 0.4937
```

[4]
Here is a geometry-optimized NdHo2NpN4 structure from the Alexandria database. Energies are from PBE-GGA.

Calculated values
D(E_F) ... 15.95 states/eV/cell
SG ... Cmcm
E_form (uncorrected) ... -1.223 eV/atom
E ... -8.744 eV/atom

POSCAR file:
```
NdHo2NpN4
1.0
1.7065 -6.5530 0.0000
1.7065 6.5530 0.0000
0.0000 0.0000 10.9358
Nd Ho Np N
2 4 2 8
Direct
0.2319 0.7681 0.7500
0.7681 0.2319 0.2500
0.3722 0.6278 0.0130
0.3722 0.6278 0.4870
0.6278 0.3722 0.5130
0.6278 0.3722 0.9870
0.0351 0.9649 0.2500
0.9649 0.0351 0.7500
0.0000 0.0000 0.0000
0.0000 0.0000 0.5000
0.2012 0.7988 0.1108
0.2012 0.7988 0.3892
0.4228 0.5772 0.2500
0.5772 0.4228 0.7500
0.7988 0.2012 0.6108
0.7988 0.2012 0.8892
```